The following is a PBEsol calculation of Ti2ReSi2 after structural relaxation, from the Alexandria database.

Summary:
Symmetry: P4/mbm (127)
Total moment in μB per cell: 0.00
ΔE_f (raw) in eV per atom: -0.768

The structure in POSCAR format:
```
Ti2ReSi2
1.0
-2.578 -1.240 1.965
-2.877 -2.280 -5.214
3.153 -5.502 0.666
Re Si Ti
2 4 4
Direct
0.000 0.000 0.000
0.000 0.500 0.500
0.000 0.369 0.869
0.000 0.869 0.631
0.000 0.631 0.131
0.000 0.131 0.369
0.500 0.169 0.669
0.500 0.669 0.831
0.500 0.831 0.331
0.500 0.331 0.169
```

The following is a PBEsol calculation of TiReSi after structural relaxation, from the Alexandria database.

Summary:
Symmetry: P-62m (189)
Total moment in μB per cell: 0.00
ΔE_f (raw) in eV per atom: -0.781

The structure in POSCAR format:
```
TiReSi
1.0
-2.876 -1.251 -0.659
1.264 -5.125 4.215
-2.969 5.613 2.302
Ti Re Si
3 3 3
Direct
0.500 0.597 0.000
0.500 0.403 0.403
0.500 0.000 0.597
0.000 0.263 0.000
0.000 0.737 0.737
0.000 0.000 0.263
0.000 0.333 0.667
0.000 0.667 0.333
0.500 0.000 0.000
```